1.
The following is a DFT calculation (PBE) of Tb4Dy9Al11 after structural relaxation.

Cell: 3.366 13.572 13.572 Å, 110.97 90.00 90.00°
Atoms (fractional coordinates):
1 Dy 0.500 0.500 0.500
2 Dy 0.500 0.796 0.989
3 Dy 0.500 0.011 0.204
4 Dy 0.500 0.989 0.796
5 Dy 0.500 0.612 0.163
6 Dy 0.500 0.204 0.011
7 Dy 0.500 0.163 0.612
8 Dy 0.500 0.837 0.388
9 Dy 0.500 0.388 0.837
10 Al 0.000 0.000 0.000
11 Al 0.000 0.379 0.621
12 Al 0.000 0.801 0.801
13 Al 0.000 0.039 0.412
14 Al 0.000 0.621 0.379
15 Al 0.000 0.961 0.588
16 Al 0.000 0.188 0.812
17 Al 0.000 0.588 0.961
18 Al 0.000 0.412 0.039
19 Al 0.000 0.812 0.188
20 Al 0.000 0.199 0.199
21 Tb 0.500 0.759 0.594
22 Tb 0.500 0.241 0.406
23 Tb 0.500 0.406 0.241
24 Tb 0.500 0.594 0.759

Values from the calculation:
* size of the total moment: 0.0 μB/f.u.
* VASP energy: -108.934 eV/cell


2.
The following is a DFT calculation (PBE) of Ba2UNiSe5 after structural relaxation.

Cell: 4.226 9.521 13.412 Å, 90.00 90.00 102.82°
Site moments in Bohr magnetons follow the coordinates.
Atoms (fractional coordinates):
1 Se 0.505 0.011 0.773  -0.07
2 Se 0.699 0.398 0.879  -0.06
3 Se 0.660 0.320 0.519  -0.04
4 Se 0.955 0.909 0.503  -0.11
5 Se 0.308 0.616 0.662  -0.05
6 Se 0.301 0.602 0.379  -0.06
7 Se 0.045 0.091 0.003  -0.11
8 Se 0.692 0.384 0.162  -0.05
9 Se 0.340 0.680 0.019  -0.04
10 Se 0.495 0.989 0.273  -0.07
11 Ni 0.573 0.147 0.925  -0.65
12 Ni 0.427 0.853 0.425  -0.65
13 Ba 0.877 0.753 0.201  0.00
14 Ba 0.123 0.247 0.701  0.00
15 Ba 0.886 0.772 0.840  -0.01
16 Ba 0.114 0.228 0.340  -0.01
17 U 0.808 0.617 0.520  1.49
18 U 0.192 0.383 0.020  1.49

Values from the calculation:
* size of the total moment: 0.4 μB/f.u.
* VASP energy: -101.119 eV/cell


3.
The following is a DFT calculation (PBE) of Cs4AsH after structural relaxation.

Cell: 7.871 9.433 9.522 Å, 112.86 106.57 104.99°
Atoms (fractional coordinates):
1 Cs 0.373 0.944 0.657
2 Cs 0.627 0.056 0.343
3 Cs 0.614 0.352 0.109
4 Cs 0.217 0.287 0.343
5 Cs 0.386 0.648 0.891
6 Cs 0.783 0.713 0.657
7 Cs 0.996 0.758 0.109
8 Cs 0.004 0.242 0.891
9 H 0.258 0.008 0.015
10 H 0.742 0.992 0.985
11 As 0.612 0.362 0.724
12 As 0.388 0.638 0.276

Values from the calculation:
* size of the total moment: 0.0 μB/f.u.
* VASP energy: -25.317 eV/cell


4.
The following is a DFT calculation (PBE) of TlAs2Ir after structural relaxation.

Cell: 4.802 4.802 3.590 Å, 90.01 90.01 109.44°
Atoms (fractional coordinates):
1 Ir 0.500 0.000 0.500
2 Tl 0.000 0.500 0.500
3 As 0.500 0.500 0.000
4 As 0.000 0.000 0.000

Values from the calculation:
* size of the total moment: 0.0 μB/f.u.
* VASP energy: -18.424 eV/cell